Ba3Cd7Hg2 after structural relaxation, computed with PBE.

Summary:
M_tot ... 0.00 μB/atom
Formation energy ... -0.290 eV/atom
Space group ... R-3m, No. 166

Cell: 6.3621 6.3621 10.7882 Å, 72.85 72.85 60.00°
Closest atoms and distances in Å follow each position.
Sites, in units of the cell vectors:
Cd 0.5851 0.0771 0.7526  2 Hg 3.07-3.15, 5 Cd 3.13-3.23
Cd 0.9229 0.4149 0.2474  2 Hg 3.07-3.15, 5 Cd 3.13-3.23
Cd 0.4149 0.4149 0.2474  2 Hg 3.07-3.15, 5 Cd 3.13-3.23
Cd 0.0771 0.5851 0.7526  2 Hg 3.07-3.15, 5 Cd 3.13-3.23
Cd 0.5851 0.5851 0.7526  2 Hg 3.07-3.15, 5 Cd 3.13-3.23
Cd 0.5000 0.5000 0.5000  6 Cd 3.17
Cd 0.4149 0.9229 0.2474  2 Hg 3.07-3.15, 5 Cd 3.13-3.23
Ba 0.8566 0.8566 0.4302  12 Cd 3.68-3.74, 3 Ba 3.94
Ba 0.1434 0.1434 0.5698  12 Cd 3.68-3.74, 3 Ba 3.94
Ba 0.0000 0.0000 0.0000  6 Hg 3.67, 12 Cd 4.05
Hg 0.6644 0.6644 0.0067  6 Cd 3.07-3.15
Hg 0.3356 0.3356 0.9933  6 Cd 3.07-3.15